{
  "formula": "NdY2Ho7",
  "functional": "PBE-GGA",
  "state": "optimized geometry",
  "cell": [[4.306, -8.584, 0.000], [4.306, 8.584, 0.000], [0.000, 0.000, 5.276]],
  "species": ["Nd", "Y", "Y", "Ho", "Ho", "Ho", "Ho", "Ho", "Ho", "Ho"],
  "frac_coords": [[0.000, 0.000, 0.000], [0.297, 0.703, 0.500], [0.703, 0.297, 0.500], [0.069, 0.288, 0.500], [0.198, 0.802, 0.000], [0.288, 0.069, 0.500], [0.500, 0.500, 0.500], [0.712, 0.931, 0.500], [0.802, 0.198, 0.000], [0.931, 0.712, 0.500]],
  "ef_ev_per_atom": 0.7121,
  "sg": "No. 65",
  "total_magnetization_mub_per_atom": 0.0001,
  "polymorph_energy_mev_per_atom": 690,
  "volume_a3_per_fu": 390.1
}